# 1
Crystalline Sr3CaPr2Te6 at its relaxed geometry. Source: the Alexandria database, functional PBE.

Cell: 7.9817 7.9817 8.0573 Å, 99.51 99.51 119.97°
With the nearest neighbours (Å) after each atom.
Fractional coordinates of all 12 atoms:
Sr 0.0000 0.0000 0.0000  6 Te 3.31-3.34
Sr 0.3320 0.6680 0.0000  6 Te 3.31-3.32
Sr 0.6680 0.3320 0.0000  6 Te 3.31-3.32
Ca 0.5000 0.5000 0.5000  6 Te 3.20-3.21
Pr 0.1657 0.8343 0.5000  6 Te 3.23-3.24
Pr 0.8343 0.1657 0.5000  6 Te 3.23-3.24
Te 0.0902 0.4204 0.2603  1 Ca 3.20, 2 Pr 3.24, 3 Sr 3.31-3.32
Te 0.2506 0.2506 0.7407  1 Ca 3.21, 2 Pr 3.23, 3 Sr 3.31-3.34
Te 0.4204 0.0902 0.2603  1 Ca 3.20, 2 Pr 3.24, 3 Sr 3.31-3.32
Te 0.5796 0.9098 0.7397  1 Ca 3.20, 2 Pr 3.24, 3 Sr 3.31-3.32
Te 0.7494 0.7494 0.2593  1 Ca 3.21, 2 Pr 3.23, 3 Sr 3.31-3.34
Te 0.9098 0.5796 0.7397  1 Ca 3.20, 2 Pr 3.24, 3 Sr 3.31-3.32

Calculated values
As for the space-group type: C2/m (12). The formation energy (no corrections) comes out at -19.17 eV/f.u. Its density of states at the Fermi level is 3.568 states/eV/cell. For the volume, the calculation gives 35.0 Å³ per atom.

# 2
Crystalline LaRhW at its relaxed geometry. Source: the Alexandria database, functional PBE.

Cell: 4.7285 4.7285 3.1897 Å, 90.00 90.00 120.00°
With the nearest neighbours (Å) after each atom.
Fractional coordinates of all 3 atoms:
La 0.0000 0.0000 0.0000  6 W 3.16, 6 Rh 3.16, 2 La 3.19
Rh 0.3333 0.6667 0.5000  3 W 2.73
W 0.6667 0.3333 0.5000  3 Rh 2.73

Calculated values
As for the space-group type: P-6m2 (187). Its density of states at the Fermi level is 4.385 states/eV/cell. The calculation puts the formation energy at 1.4 eV/f.u. For the volume, the calculation gives 20.6 Å³ per atom.

# 3
Crystalline ZnW at its relaxed geometry. Source: the Alexandria database, functional PBE.

Cell: 4.2855 4.2855 5.0218 Å, 90.00 90.00 120.00°
With the nearest neighbours (Å) after each atom.
Fractional coordinates of all 4 atoms:
Zn 0.3333 0.6667 0.2500  5 W 2.47-2.51
Zn 0.6667 0.3333 0.7500  5 W 2.47-2.51
W 0.3333 0.6667 0.7500  5 Zn 2.47-2.51
W 0.6667 0.3333 0.2500  5 Zn 2.47-2.51

Calculated values
As for the space-group type: P6_3/mmc (194). Its density of states at the Fermi level is 2.720 states/eV/cell. The calculation puts the formation energy at 3.5 eV/f.u. For the volume, the calculation gives 20.0 Å³ per atom.

# 4
Crystalline LaOs2Ru at its relaxed geometry. Source: the Alexandria database, functional PBE.

Cell: 6.6052 6.6052 6.6052 Å, 90.00 90.00 90.00°
With the nearest neighbours (Å) after each atom.
Fractional coordinates of all 16 atoms:
La 0.0000 0.0000 0.0000  8 Os 2.86
La 0.0000 0.5000 0.5000  8 Os 2.86
La 0.5000 0.0000 0.5000  8 Os 2.86
La 0.5000 0.5000 0.0000  8 Os 2.86
Os 0.2500 0.2500 0.2500  4 Ru 2.86, 4 La 2.86
Os 0.2500 0.2500 0.7500  4 La 2.86, 4 Ru 2.86
Os 0.2500 0.7500 0.2500  4 La 2.86, 4 Ru 2.86
Os 0.2500 0.7500 0.7500  4 La 2.86, 4 Ru 2.86
Os 0.7500 0.2500 0.2500  4 La 2.86, 4 Ru 2.86
Os 0.7500 0.2500 0.7500  4 La 2.86, 4 Ru 2.86
Os 0.7500 0.7500 0.2500  4 La 2.86, 4 Ru 2.86
Os 0.7500 0.7500 0.7500  4 La 2.86, 4 Ru 2.86
Ru 0.0000 0.0000 0.5000  8 Os 2.86
Ru 0.0000 0.5000 0.0000  8 Os 2.86
Ru 0.5000 0.0000 0.0000  8 Os 2.86
Ru 0.5000 0.5000 0.5000  8 Os 2.86

Calculated values
As for the space-group type: Fm-3m (225). Its density of states at the Fermi level is 22.336 states/eV/cell. The calculation puts the formation energy at 3.3 eV/f.u. For the volume, the calculation gives 18.0 Å³ per atom.

# 5
Crystalline BeCo2Cu at its relaxed geometry. Source: the Alexandria database, functional PBE.

Cell: 2.6650 3.9559 7.7607 Å, 90.00 90.00 90.00°
With the nearest neighbours (Å) after each atom.
Fractional coordinates of all 8 atoms:
Be 0.0000 0.0000 0.0000  6 Co 2.25-2.39, 2 Cu 2.25
Be 0.5000 0.5000 0.5000  6 Co 2.25-2.39, 2 Cu 2.25
Co 0.0000 0.0000 0.4950  4 Be 2.39, 4 Co 2.43-2.67, 4 Cu 2.50-2.65
Co 0.0000 0.5000 0.7330  2 Be 2.25, 4 Cu 2.40, 2 Co 2.43
Co 0.5000 0.0000 0.2330  2 Be 2.25, 4 Cu 2.40, 2 Co 2.43
Co 0.5000 0.5000 0.9950  4 Be 2.39, 4 Co 2.43-2.67, 4 Cu 2.50-2.65
Cu 0.0000 0.5000 0.2669  2 Be 2.25, 6 Co 2.40-2.50
Cu 0.5000 0.0000 0.7669  2 Be 2.25, 6 Co 2.40-2.50

Calculated values
As for the space-group type: Imm2 (44). Its density of states at the Fermi level is 5.967 states/eV/cell. The calculation puts the formation energy at 0.1 eV/f.u. For the volume, the calculation gives 10.2 Å³ per atom.

# 6
Crystalline BaAsPtSe2 at its relaxed geometry. Source: the Alexandria database, functional PBE.

Cell: 5.4226 5.4226 4.6443 Å, 90.00 90.00 90.00°
With the nearest neighbours (Å) after each atom.
Fractional coordinates of all 5 atoms:
Ba 0.0000 0.0000 0.0000  8 Se 3.57, 4 As 3.83
As 0.5000 0.5000 0.0000  2 Pt 2.32
Pt 0.5000 0.5000 0.5000  2 As 2.32
Se 0.0000 0.5000 0.5000  2 Pt 2.71
Se 0.5000 0.0000 0.5000  2 Pt 2.71

Calculated values
As for the space-group type: P4/mmm (123). The formation energy (no corrections) comes out at -3.17 eV/f.u. Its density of states at the Fermi level is 1.997 states/eV/cell. For the volume, the calculation gives 27.3 Å³ per atom.

density of states at the Fermi level of number 6 (BaAsPtSe2)? 1.997 states/eV/cell

Which value of density of states at the Fermi level does entry 4 give? 22.336 states/eV/cell